AlFeB4 | PBE | relaxed

Lattice parameters (Å, degrees): 2.972 2.972 6.428 90.00 90.00 120.00
Sites, in units of the cell vectors:
Al (0.000, 0.000, 0.000)
Fe (0.000, 0.000, 0.500)
B (0.333, 0.667, 0.251)
B (0.333, 0.667, 0.749)
B (0.667, 0.333, 0.251)
B (0.667, 0.333, 0.749)

Calculated values
As for the space group: P6/mmm (191). The energy above the most stable polymorph in this dataset comes out at 5.2 meV per atom.

Nb4AlGaB2 | PBE | relaxed

Lattice parameters (Å, degrees): 3.206 3.206 13.818 90.00 90.00 120.00
Sites, in units of the cell vectors:
Nb (0.000, 0.000, 0.157)
Nb (0.000, 0.000, 0.843)
Nb (0.667, 0.333, 0.341)
Nb (0.667, 0.333, 0.659)
Al (0.000, 0.000, 0.500)
Ga (0.667, 0.333, 0.000)
B (0.333, 0.667, 0.249)
B (0.333, 0.667, 0.751)

Calculated values
As for the space group: P-6m2 (187). The calculation puts the electronic total energy at -8.029 eV per atom.

Ta4AlGaB2 | PBE | relaxed

Lattice parameters (Å, degrees): 3.188 3.188 13.772 90.00 90.00 120.00
Sites, in units of the cell vectors:
Ta (0.000, 0.000, 0.157)
Ta (0.000, 0.000, 0.843)
Ta (0.333, 0.667, 0.340)
Ta (0.333, 0.667, 0.660)
Al (0.000, 0.000, 0.500)
Ga (0.333, 0.667, 0.000)
B (0.667, 0.333, 0.249)
B (0.667, 0.333, 0.751)

Calculated values
As for the space group: P-6m2 (187). The calculation puts the electronic total energy at -8.931 eV per atom.

GdAlB | PBE | relaxed

Lattice parameters (Å, degrees): 6.053 6.053 6.053 90.00 90.00 90.00
Sites, in units of the cell vectors:
Gd (0.000, 0.000, 0.000)
Gd (0.000, 0.500, 0.500)
Gd (0.500, 0.000, 0.500)
Gd (0.500, 0.500, 0.000)
Al (0.250, 0.250, 0.750)
Al (0.250, 0.750, 0.250)
Al (0.750, 0.250, 0.250)
Al (0.750, 0.750, 0.750)
B (0.000, 0.000, 0.500)
B (0.000, 0.500, 0.000)
B (0.500, 0.000, 0.000)
B (0.500, 0.500, 0.500)

Calculated values
As for the space group: F-43m (216). The energy above the most stable polymorph in this dataset comes out at 786.9 meV per atom.

GdAlB | PBE | relaxed

Lattice parameters (Å, degrees): 5.930 5.930 5.930 90.00 90.00 90.00
Sites, in units of the cell vectors:
Gd (0.000, 0.000, 0.000)
Gd (0.000, 0.500, 0.500)
Gd (0.500, 0.000, 0.500)
Gd (0.500, 0.500, 0.000)
Al (0.000, 0.000, 0.500)
Al (0.000, 0.500, 0.000)
Al (0.500, 0.000, 0.000)
Al (0.500, 0.500, 0.500)
B (0.250, 0.250, 0.750)
B (0.250, 0.750, 0.250)
B (0.750, 0.250, 0.250)
B (0.750, 0.750, 0.750)

Calculated values
As for the space group: F-43m (216). The energy above the most stable polymorph in this dataset comes out at 0.0 meV per atom.

AlHgBH6 | PBE | relaxed

Lattice parameters (Å, degrees): 4.749 4.749 4.749 60.00 60.00 60.00
Sites, in units of the cell vectors:
Al (0.000, 0.000, 0.000)
Hg (0.250, 0.250, 0.250)
B (0.750, 0.750, 0.750)
H (0.261, 0.261, 0.739)
H (0.261, 0.739, 0.261)
H (0.261, 0.739, 0.739)
H (0.739, 0.261, 0.261)
H (0.739, 0.261, 0.739)
H (0.739, 0.739, 0.261)

Calculated values
As for the space group: F-43m (216). The calculation puts the electronic total energy at -2.423 eV per atom.

AlBH6W | PBE | relaxed

Lattice parameters (Å, degrees): 4.256 4.256 4.256 60.00 60.00 60.00
Sites, in units of the cell vectors:
Al (0.000, 0.000, 0.000)
B (0.250, 0.250, 0.250)
H (0.503, 0.503, 0.997)
H (0.503, 0.997, 0.503)
H (0.503, 0.997, 0.997)
H (0.997, 0.503, 0.503)
H (0.997, 0.503, 0.997)
H (0.997, 0.997, 0.503)
W (0.500, 0.500, 0.500)

Calculated values
As for the space group: F-43m (216). The calculation puts the electronic total energy at -4.114 eV per atom.

AlZnBH6 | PBE | relaxed

Lattice parameters (Å, degrees): 4.427 4.427 4.427 60.00 60.00 60.00
Sites, in units of the cell vectors:
Al (0.000, 0.000, 0.000)
Zn (0.500, 0.500, 0.500)
B (0.750, 0.750, 0.750)
H (0.515, 0.515, 0.985)
H (0.515, 0.985, 0.515)
H (0.515, 0.985, 0.985)
H (0.985, 0.515, 0.515)
H (0.985, 0.515, 0.985)
H (0.985, 0.985, 0.515)

Calculated values
As for the space group: F-43m (216). The calculation puts the electronic total energy at -2.901 eV per atom.

Hf3AlB2 | PBE | relaxed

Lattice parameters (Å, degrees): 3.354 3.354 20.487 90.00 90.00 120.00
Sites, in units of the cell vectors:
Hf (0.000, 0.000, 0.000)
Hf (0.000, 0.000, 0.500)
Hf (0.333, 0.667, 0.135)
Hf (0.333, 0.667, 0.365)
Hf (0.667, 0.333, 0.635)
Hf (0.667, 0.333, 0.865)
Al (0.000, 0.000, 0.250)
Al (0.000, 0.000, 0.750)
B (0.333, 0.667, 0.571)
B (0.333, 0.667, 0.929)
B (0.667, 0.333, 0.071)
B (0.667, 0.333, 0.429)

Calculated values
As for the space group: P6_3/mmc (194). The calculation puts the electronic total energy at -8.225 eV per atom.

Hf2AlB2 | PBE | relaxed

Lattice parameters (Å, degrees): 3.173 11.822 3.535 90.00 90.00 90.00
Sites, in units of the cell vectors:
Hf (0.000, 0.141, 0.000)
Hf (0.000, 0.859, 0.000)
Hf (0.500, 0.359, 0.000)
Hf (0.500, 0.641, 0.000)
Al (0.000, 0.500, 0.500)
Al (0.500, 0.000, 0.500)
B (0.000, 0.288, 0.500)
B (0.000, 0.712, 0.500)
B (0.500, 0.212, 0.500)
B (0.500, 0.788, 0.500)

Calculated values
As for the space group: Cmmm (65). The calculation puts the electronic total energy at -8.103 eV per atom.

HfAlB2 | PBE | relaxed

Lattice parameters (Å, degrees): 5.928 5.928 5.928 90.00 90.00 90.00
Sites, in units of the cell vectors:
Hf (0.000, 0.000, 0.000)
Hf (0.000, 0.500, 0.500)
Hf (0.500, 0.000, 0.500)
Hf (0.500, 0.500, 0.000)
Al (0.250, 0.250, 0.750)
Al (0.250, 0.750, 0.250)
Al (0.750, 0.250, 0.250)
Al (0.750, 0.750, 0.750)
B (0.000, 0.000, 0.500)
B (0.000, 0.500, 0.000)
B (0.250, 0.250, 0.250)
B (0.250, 0.750, 0.750)
B (0.500, 0.000, 0.000)
B (0.500, 0.500, 0.500)
B (0.750, 0.250, 0.750)
B (0.750, 0.750, 0.250)

Calculated values
As for the space group: F-43m (216). The calculation puts the electronic total energy at -5.557 eV per atom.

Hf3AlB4 | PBE | relaxed

Lattice parameters (Å, degrees): 3.156 3.532 8.591 90.00 90.00 90.00
Sites, in units of the cell vectors:
Hf (0.000, 0.000, 0.000)
Hf (0.500, 0.000, 0.309)
Hf (0.500, 0.000, 0.691)
Al (0.000, 0.500, 0.500)
B (0.000, 0.500, 0.213)
B (0.000, 0.500, 0.787)
B (0.500, 0.500, 0.109)
B (0.500, 0.500, 0.891)

Calculated values
As for the space group: Pmmm (47). The calculation puts the electronic total energy at -8.338 eV per atom.

HfAl2B | PBE | relaxed

Lattice parameters (Å, degrees): 6.252 6.252 6.252 90.00 90.00 90.00
Sites, in units of the cell vectors:
Hf (0.000, 0.000, 0.000)
Hf (0.000, 0.500, 0.500)
Hf (0.500, 0.000, 0.500)
Hf (0.500, 0.500, 0.000)
Al (0.000, 0.000, 0.500)
Al (0.000, 0.500, 0.000)
Al (0.250, 0.250, 0.250)
Al (0.250, 0.750, 0.750)
Al (0.500, 0.000, 0.000)
Al (0.500, 0.500, 0.500)
Al (0.750, 0.250, 0.750)
Al (0.750, 0.750, 0.250)
B (0.250, 0.250, 0.750)
B (0.250, 0.750, 0.250)
B (0.750, 0.250, 0.250)
B (0.750, 0.750, 0.750)

Calculated values
As for the space group: F-43m (216). The calculation puts the electronic total energy at -5.516 eV per atom.

HfAl2B6 | PBE | relaxed

Lattice parameters (Å, degrees): 9.309 10.881 3.526 90.00 90.00 90.00
Sites, in units of the cell vectors:
Hf (0.160, 0.182, 0.000)
Hf (0.340, 0.682, 0.000)
Hf (0.660, 0.318, 0.000)
Hf (0.840, 0.818, 0.000)
Al (0.044, 0.623, 0.000)
Al (0.133, 0.904, 0.000)
Al (0.367, 0.404, 0.000)
Al (0.456, 0.123, 0.000)
Al (0.544, 0.877, 0.000)
Al (0.633, 0.596, 0.000)
Al (0.867, 0.096, 0.000)
Al (0.956, 0.377, 0.000)
B (0.012, 0.792, 0.500)
B (0.065, 0.057, 0.500)
B (0.087, 0.478, 0.500)
B (0.129, 0.329, 0.500)
B (0.193, 0.755, 0.500)
B (0.221, 0.581, 0.500)
B (0.279, 0.081, 0.500)
B (0.307, 0.255, 0.500)
B (0.371, 0.829, 0.500)
B (0.413, 0.978, 0.500)
B (0.435, 0.557, 0.500)
B (0.488, 0.292, 0.500)
B (0.512, 0.708, 0.500)
B (0.565, 0.443, 0.500)
B (0.587, 0.022, 0.500)
B (0.629, 0.171, 0.500)
B (0.693, 0.745, 0.500)
B (0.721, 0.919, 0.500)
B (0.779, 0.419, 0.500)
B (0.807, 0.245, 0.500)
B (0.871, 0.671, 0.500)
B (0.913, 0.522, 0.500)
B (0.935, 0.943, 0.500)
B (0.988, 0.208, 0.500)

Calculated values
As for the space group: Pbam (55). The calculation puts the electronic total energy at -6.436 eV per atom.

Hf4AlB3 | PBE | relaxed

Lattice parameters (Å, degrees): 3.387 3.387 25.859 90.00 90.00 120.00
Sites, in units of the cell vectors:
Hf (0.000, 0.000, 0.159)
Hf (0.000, 0.000, 0.341)
Hf (0.000, 0.000, 0.659)
Hf (0.000, 0.000, 0.841)
Hf (0.333, 0.667, 0.056)
Hf (0.333, 0.667, 0.444)
Hf (0.667, 0.333, 0.556)
Hf (0.667, 0.333, 0.944)
Al (0.333, 0.667, 0.250)
Al (0.667, 0.333, 0.750)
B (0.000, 0.000, 0.000)
B (0.000, 0.000, 0.500)
B (0.333, 0.667, 0.611)
B (0.333, 0.667, 0.889)
B (0.667, 0.333, 0.111)
B (0.667, 0.333, 0.389)

Calculated values
As for the space group: P6_3/mmc (194). The calculation puts the electronic total energy at -8.354 eV per atom.

Hf2AlB | PBE | relaxed

Lattice parameters (Å, degrees): 3.368 3.368 14.665 90.00 90.00 120.00
Sites, in units of the cell vectors:
Hf (0.333, 0.667, 0.089)
Hf (0.333, 0.667, 0.411)
Hf (0.667, 0.333, 0.589)
Hf (0.667, 0.333, 0.911)
Al (0.333, 0.667, 0.750)
Al (0.667, 0.333, 0.250)
B (0.000, 0.000, 0.000)
B (0.000, 0.000, 0.500)

Calculated values
As for the space group: P6_3/mmc (194). The calculation puts the electronic total energy at -7.953 eV per atom.

Hf4AlB2S | PBE | relaxed

Lattice parameters (Å, degrees): 3.431 3.431 13.305 90.00 90.00 120.00
Sites, in units of the cell vectors:
Hf (0.000, 0.000, 0.135)
Hf (0.000, 0.000, 0.865)
Hf (0.333, 0.667, 0.328)
Hf (0.333, 0.667, 0.672)
Al (0.000, 0.000, 0.500)
B (0.667, 0.333, 0.231)
B (0.667, 0.333, 0.769)
S (0.333, 0.667, 0.000)

Calculated values
As for the space group: P-6m2 (187). The calculation puts the electronic total energy at -8.420 eV per atom.

AlHgB2 | PBE | relaxed

Lattice parameters (Å, degrees): 6.097 6.097 6.097 90.00 90.00 90.00
Sites, in units of the cell vectors:
Al (0.000, 0.000, 0.000)
Al (0.000, 0.500, 0.500)
Al (0.500, 0.000, 0.500)
Al (0.500, 0.500, 0.000)
Hg (0.250, 0.250, 0.250)
Hg (0.250, 0.750, 0.750)
Hg (0.750, 0.250, 0.750)
Hg (0.750, 0.750, 0.250)
B (0.000, 0.000, 0.500)
B (0.000, 0.500, 0.000)
B (0.250, 0.250, 0.750)
B (0.250, 0.750, 0.250)
B (0.500, 0.000, 0.000)
B (0.500, 0.500, 0.500)
B (0.750, 0.250, 0.250)
B (0.750, 0.750, 0.750)

Calculated values
As for the space group: F-43m (216). The calculation puts the electronic total energy at -2.714 eV per atom.

HoAlB4 | PBE | relaxed

Lattice parameters (Å, degrees): 3.183 5.233 7.619 90.00 90.00 90.00
Sites, in units of the cell vectors:
Ho (0.000, 0.000, 0.000)
Ho (0.500, 0.500, 0.500)
Al (0.000, 0.000, 0.500)
Al (0.500, 0.500, 0.000)
B (0.000, 0.328, 0.259)
B (0.000, 0.328, 0.741)
B (0.000, 0.672, 0.259)
B (0.000, 0.672, 0.741)
B (0.500, 0.172, 0.241)
B (0.500, 0.172, 0.759)
B (0.500, 0.828, 0.241)
B (0.500, 0.828, 0.759)

Calculated values
As for the space group: Immm (71). The energy above the most stable polymorph in this dataset comes out at 27.4 meV per atom.

HoAlB4 | PBE | relaxed

Lattice parameters (Å, degrees): 3.113 3.113 7.149 90.00 90.00 120.00
Sites, in units of the cell vectors:
Ho (0.000, 0.000, 0.000)
Al (0.000, 0.000, 0.500)
B (0.333, 0.667, 0.278)
B (0.333, 0.667, 0.722)
B (0.667, 0.333, 0.278)
B (0.667, 0.333, 0.722)

Calculated values
As for the space group: P6/mmm (191). The energy above the most stable polymorph in this dataset comes out at 0.0 meV per atom.

HoAlB | PBE | relaxed

Lattice parameters (Å, degrees): 6.264 6.264 6.264 90.00 90.00 90.00
Sites, in units of the cell vectors:
Ho (0.000, 0.000, 0.000)
Ho (0.000, 0.500, 0.500)
Ho (0.500, 0.000, 0.500)
Ho (0.500, 0.500, 0.000)
Al (0.250, 0.250, 0.750)
Al (0.250, 0.750, 0.250)
Al (0.750, 0.250, 0.250)
Al (0.750, 0.750, 0.750)
B (0.250, 0.250, 0.250)
B (0.250, 0.750, 0.750)
B (0.750, 0.250, 0.750)
B (0.750, 0.750, 0.250)

Calculated values
As for the space group: F-43m (216). The energy above the most stable polymorph in this dataset comes out at 1055.9 meV per atom.

HoAlB | PBE | relaxed

Lattice parameters (Å, degrees): 5.986 5.986 5.986 90.00 90.00 90.00
Sites, in units of the cell vectors:
Ho (0.000, 0.000, 0.000)
Ho (0.000, 0.500, 0.500)
Ho (0.500, 0.000, 0.500)
Ho (0.500, 0.500, 0.000)
Al (0.250, 0.250, 0.750)
Al (0.250, 0.750, 0.250)
Al (0.750, 0.250, 0.250)
Al (0.750, 0.750, 0.750)
B (0.000, 0.000, 0.500)
B (0.000, 0.500, 0.000)
B (0.500, 0.000, 0.000)
B (0.500, 0.500, 0.500)

Calculated values
As for the space group: F-43m (216). The energy above the most stable polymorph in this dataset comes out at 833.6 meV per atom.

HoAlB | PBE | relaxed

Lattice parameters (Å, degrees): 5.848 5.848 5.848 90.00 90.00 90.00
Sites, in units of the cell vectors:
Ho (0.000, 0.000, 0.000)
Ho (0.000, 0.500, 0.500)
Ho (0.500, 0.000, 0.500)
Ho (0.500, 0.500, 0.000)
Al (0.000, 0.000, 0.500)
Al (0.000, 0.500, 0.000)
Al (0.500, 0.000, 0.000)
Al (0.500, 0.500, 0.500)
B (0.250, 0.250, 0.750)
B (0.250, 0.750, 0.250)
B (0.750, 0.250, 0.250)
B (0.750, 0.750, 0.750)

Calculated values
As for the space group: F-43m (216). The energy above the most stable polymorph in this dataset comes out at 0.0 meV per atom.

AlBIr6 | PBE | relaxed

Lattice parameters (Å, degrees): 5.819 5.819 5.819 60.00 60.00 60.00
Sites, in units of the cell vectors:
Al (0.000, 0.000, 0.000)
B (0.750, 0.750, 0.750)
Ir (0.279, 0.279, 0.721)
Ir (0.279, 0.721, 0.279)
Ir (0.279, 0.721, 0.721)
Ir (0.721, 0.279, 0.279)
Ir (0.721, 0.279, 0.721)
Ir (0.721, 0.721, 0.279)

Calculated values
As for the space group: F-43m (216). The calculation puts the electronic total energy at -6.708 eV per atom.

AlB2Ir | PBE | relaxed

Lattice parameters (Å, degrees): 5.602 5.602 5.602 90.00 90.00 90.00
Sites, in units of the cell vectors:
Al (0.000, 0.000, 0.000)
Al (0.000, 0.500, 0.500)
Al (0.500, 0.000, 0.500)
Al (0.500, 0.500, 0.000)
B (0.000, 0.000, 0.500)
B (0.000, 0.500, 0.000)
B (0.250, 0.250, 0.750)
B (0.250, 0.750, 0.250)
B (0.500, 0.000, 0.000)
B (0.500, 0.500, 0.500)
B (0.750, 0.250, 0.250)
B (0.750, 0.750, 0.750)
Ir (0.250, 0.250, 0.250)
Ir (0.250, 0.750, 0.750)
Ir (0.750, 0.250, 0.750)
Ir (0.750, 0.750, 0.250)

Calculated values
As for the space group: F-43m (216). The calculation puts the electronic total energy at -5.558 eV per atom.